Entry 1:
Below is crystalline RbNaAg2Br4 at its relaxed geometry, with properties calculated at the PBE level.

total energy	-45.05	eV for the cell shown

Unit cell a=7.5417 b=8.1845 c=8.8513 alpha=90.00 beta=90.00 gamma=90.00
Space group I222 (No. 23)
Symmetry-distinct sites (fractional):
Rb  0.0000  0.0000  0.0000 [2 per cell]
Na  0.0000  0.0000  0.5000 [2 per cell]
Ag  0.0000  0.5000  0.1703 [4 per cell]
Br  0.2372  0.1925  0.3185 [8 per cell]



Entry 2:
Below is crystalline Y2TaBr at its relaxed geometry, with properties calculated at the PBE level.

offset from the most stable computed form	0.26	eV per formula unit
total energy	-81.94	eV for the cell shown

Unit cell a=3.4849 b=3.4849 c=28.6668 alpha=90.00 beta=90.00 gamma=120.00
Space group R-3m (No. 166, hexagonal axes)
Symmetry-distinct sites (fractional):
Y  0.0000  0.0000  0.2504 [6 per cell]
Ta  0.0000  0.0000  0.5000 [3 per cell]
Br  0.0000  0.0000  0.0000 [3 per cell]



Entry 3:
Below is crystalline ScAlPt at its relaxed geometry, with properties calculated at the PBE level.

total energy	-19.08	eV for the cell shown
energy relative to the elements	-987	meV/atom

Unit cell a=4.3398 b=4.3398 c=3.3128 alpha=90.00 beta=90.00 gamma=120.00
Space group P-6m2 (No. 187)
Symmetry-distinct sites (fractional):
Sc  0.0000  0.0000  0.0000 [1 per cell]
Al  0.6667  0.3333  0.5000 [1 per cell]
Pt  0.3333  0.6667  0.5000 [1 per cell]



Entry 4:
Below is crystalline Cs2ReSi at its relaxed geometry, with properties calculated at the PBE level.

offset from the most stable computed form	3.91	eV per formula unit
total energy	-47.24	eV for the cell shown

Unit cell a=8.5832 b=8.5832 c=8.5832 alpha=90.00 beta=90.00 gamma=90.00
Space group Fm-3m (No. 225)
Symmetry-distinct sites (fractional):
Cs  0.2500  0.2500  0.2500 [8 per cell]
Re  0.0000  0.0000  0.0000 [4 per cell]
Si  0.0000  0.0000  0.5000 [4 per cell]



Entry 5:
Below is crystalline Pm4ThPd5 at its relaxed geometry, with properties calculated at the PBE level.

total energy	-59.76	eV for the cell shown
energy relative to the elements	-738	meV/atom

Unit cell a=3.6017 b=3.6017 c=18.1530 alpha=90.00 beta=90.00 gamma=90.00
Space group P4/mmm (No. 123)
Symmetry-distinct sites (fractional):
Pm  0.0000  0.0000  0.0999 [2 per cell]
Pm  0.0000  0.0000  0.2986 [2 per cell]
Th  0.0000  0.0000  0.5000 [1 per cell]
Pd  0.5000  0.5000  0.0000 [1 per cell]
Pd  0.5000  0.5000  0.1976 [2 per cell]
Pd  0.5000  0.5000  0.4037 [2 per cell]



Entry 6:
Below is crystalline Sr2MnB3Pt12 at its relaxed geometry, with properties calculated at the PBE level.

total energy	-330.99	eV for the cell shown
energy relative to the elements	-293	meV/atom

Unit cell a=8.0034 b=8.0034 c=17.6395 alpha=90.00 beta=90.00 gamma=120.00
Space group R-3m (No. 166, hexagonal axes)
Symmetry-distinct sites (fractional):
Sr  0.0000  0.0000  0.1045 [6 per cell]
Mn  0.0000  0.0000  0.5000 [3 per cell]
B  0.0000  0.5000  0.0000 [9 per cell]
Pt  0.0061  0.5030  0.1188 [18 per cell]
Pt  0.0655  0.5327  0.3526 [18 per cell]



Look up the total energy of the fourth one. -47.24 eV for the cell shown



Copy entry 6 word for word.
Below is crystalline Sr2MnB3Pt12 at its relaxed geometry, with properties calculated at the PBE level.

total energy	-330.99	eV for the cell shown
energy relative to the elements	-293	meV/atom

Unit cell a=8.0034 b=8.0034 c=17.6395 alpha=90.00 beta=90.00 gamma=120.00
Space group R-3m (No. 166, hexagonal axes)
Symmetry-distinct sites (fractional):
Sr  0.0000  0.0000  0.1045 [6 per cell]
Mn  0.0000  0.0000  0.5000 [3 per cell]
B  0.0000  0.5000  0.0000 [9 per cell]
Pt  0.0061  0.5030  0.1188 [18 per cell]
Pt  0.0655  0.5327  0.3526 [18 per cell]